No. 1
AcFeTcGe2 | PBE-GGA | relaxed

a b c (Å): 4.228 4.228 6.289
angles (deg): 109.64 109.64 90.00
Site moments in Bohr magnetons follow the coordinates.
Positions (direct):
Fe 0.750 0.250 0.500  1.93
Ge 0.635 0.635 0.269  -0.04
Ge 0.365 0.365 0.731  -0.04
Tc 0.250 0.750 0.500  0.04
Ac 0.000 0.000 0.000  -0.05

Its space-group type is I-4m2. As for the size of the total moment: 1.7 μB per formula unit. Its formation energy is -1.9 eV/f.u. The calculation puts the total energy at -6.82 eV/atom.

No. 2
Ac2ZnFeGe6 | PBE-GGA | relaxed

a b c (Å): 6.364 6.364 12.719
angles (deg): 75.51 75.51 60.00
Site moments in Bohr magnetons follow the coordinates.
Positions (direct):
Ge 0.667 0.667 0.593  0.00
Ge 0.667 0.074 0.593  0.00
Ge 0.346 0.773 0.108  -0.01
Ge 0.333 0.333 0.407  0.00
Ge 0.654 0.227 0.892  -0.01
Ge 0.074 0.667 0.593  0.00
Ge 0.227 0.227 0.892  -0.01
Ge 0.926 0.333 0.407  0.00
Ge 0.227 0.654 0.892  -0.01
Ge 0.773 0.773 0.108  -0.01
Ge 0.773 0.346 0.108  -0.01
Ge 0.333 0.926 0.407  0.00
Ac 0.714 0.714 0.858  0.00
Ac 0.286 0.286 0.142  0.00
Ac 0.890 0.890 0.329  0.01
Ac 0.110 0.110 0.671  0.01
Fe 0.500 0.500 0.500  0.19
Fe 0.000 0.000 0.000  1.39
Zn 0.428 0.428 0.715  0.00
Zn 0.572 0.572 0.285  0.00

Its space-group type is R-3m. As for the size of the total moment: 0.8 μB per formula unit. Its formation energy is -2.9 eV/f.u. The calculation puts the total energy at -4.86 eV/atom.

No. 3
AcFeH6 | PBE-GGA | relaxed

a b c (Å): 4.758 4.758 4.675
angles (deg): 59.41 59.41 60.00
Site moments in Bohr magnetons follow the coordinates.
Positions (direct):
Fe 0.000 0.000 0.000  -1.06
H 0.598 0.097 0.209  0.01
H 0.903 0.903 0.791  0.01
H 0.097 0.097 0.209  0.01
H 0.402 0.903 0.791  0.01
H 0.097 0.598 0.209  0.01
H 0.903 0.402 0.791  0.01
Ac 0.500 0.500 0.500  0.02

Its space-group type is R-3m. As for the size of the total moment: 1.0 μB per formula unit. The calculation puts the total energy at -4.38 eV/atom.